Entry 1:
Density functional theory data (PBE) for a relaxed BaHgPb2 crystal.

Results
Total DFT energy (no corrections): -2.730 eV per atom
Total moment: 0.00 μB/f.u.
SG: No. 123
E_form: -0.319 eV/atom

Cell: 5.0792 5.0867 5.0728 Å, 90.00 90.00 90.00°
Last column: nearest neighbours and their distance in Å.
Element x y z (fractional)
Pb  0.0000  0.0000  0.0000  4 Ba 3.59, 4 Hg 3.59, 4 Pb 3.59
Pb  0.5000  0.5000  0.0000  4 Hg 3.59, 4 Ba 3.59, 4 Pb 3.59
Hg  0.0000  0.5000  0.5000  8 Pb 3.59, 4 Ba 3.59
Ba  0.5000  0.0000  0.5000  8 Pb 3.59, 4 Hg 3.59

Entry 2:
Density functional theory data (PBE) for a relaxed In2SbP crystal.

Results
Total DFT energy (no corrections): -3.598 eV per atom
Total moment: 0.00 μB/f.u.
SG: No. 71
Formation energy from raw total energies: 0.154 eV/atom

Cell: 7.0102 7.0102 7.0102 Å, 148.83 144.23 48.16°
Last column: nearest neighbours and their distance in Å.
Element x y z (fractional)
In  0.9372  0.9372  0.0000  2 P 3.05, 2 Sb 3.22, 4 In 3.28
In  0.5628  0.5628  0.0000  2 P 3.05, 2 Sb 3.22, 4 In 3.28
P  0.7500  0.2500  0.5000  4 Sb 2.86, 4 In 3.05
Sb  0.2500  0.7500  0.5000  4 P 2.86

Entry 3:
Density functional theory data (PBE) for a relaxed SrTaBr2 crystal.

Results
Total DFT energy (no corrections): -4.131 eV per atom
Total moment: 0.35 μB/f.u.
SG: No. 123
Formation energy from raw total energies: 0.089 eV/atom

Cell: 5.1500 5.1500 3.4914 Å, 90.00 90.00 90.00°
Last column: nearest neighbours and their distance in Å.
Element x y z (fractional)
Sr  0.5000  0.0000  0.5000  8 Br 3.11
Br  0.0000  0.0000  0.0000  4 Ta 3.11, 4 Sr 3.11
Br  0.5000  0.5000  0.0000  4 Ta 3.11, 4 Sr 3.11
Ta  0.0000  0.5000  0.5000  8 Br 3.11